KPaPt (GGA-PBE, relaxed); space-group type = F-43m
1.0
0.000 3.484 3.484
3.484 0.000 3.484
3.484 3.484 0.000
Pt Pa K
1 1 1
Direct
0.000 0.000 0.000 Pt
0.750 0.750 0.750 Pa
0.250 0.250 0.250 K

***

ErTmAg2Te4 (GGA-PBE, relaxed); space-group type = Cmm2
1.0
5.004 -5.009 0.000
5.004 5.009 0.000
0.000 0.000 4.684
Te Ag Tm Er
4 2 1 1
Direct
0.202 0.798 0.710 Te
0.300 0.300 0.290 Te
0.798 0.202 0.710 Te
0.700 0.700 0.290 Te
0.500 0.000 0.000 Ag
0.000 0.500 0.000 Ag
0.500 0.500 0.804 Tm
0.000 0.000 0.196 Er

***

LiGaW (GGA-PBE, relaxed); space-group type = F-43m
1.0
-1.207 -3.983 0.820
-4.043 -0.833 0.975
-2.462 -2.081 -2.758
Li Ga W
1 1 1
Direct
0.750 0.750 0.750 Li
0.250 0.250 0.250 Ga
0.000 0.000 0.000 W

***

Nd3Zn4 (GGA-PBE, relaxed); energy of formation from the pure elements = -0.06 eV per atom; space-group type = P6_3/m
1.0
-3.846 -7.566 -1.490
-3.815 -1.473 -7.588
4.454 -1.896 -1.871
Nd Zn
6 8
Direct
0.394 0.910 0.000 Nd
0.185 0.827 0.500 Nd
0.268 0.536 0.000 Nd
0.767 0.411 0.000 Nd
0.684 0.702 0.500 Nd
0.559 0.329 0.500 Nd
0.971 0.996 0.000 Zn
0.809 0.952 0.500 Zn
0.853 0.747 0.000 Zn
0.349 0.124 0.500 Zn
0.099 0.491 0.500 Zn
0.981 0.242 0.500 Zn
0.143 0.285 0.000 Zn
0.604 0.114 0.000 Zn

***

It is found that the calculated density values, taken in the order of the records, are 9.131; 7.512; 8.015; 6.907 g/cm³.
It is found that the energy values, taken in the order of the records, are -5.15; -4.30; -4.81; -2.83 eV/atom.